The following is a DFT calculation (PBE) of a relaxed structure of Ta4VW5.

Unit cell a=3.218 b=3.218 c=16.057 alpha=90.00 beta=90.00 gamma=90.00
Fractional positions:
Ta  0.000  0.000  0.102
Ta  0.000  0.000  0.305
Ta  0.000  0.000  0.695
Ta  0.000  0.000  0.898
V  0.000  0.000  0.500
W  0.500  0.500  0.000
W  0.500  0.500  0.204
W  0.500  0.500  0.407
W  0.500  0.500  0.593
W  0.500  0.500  0.796

Results
Total magnetic moment: 0.00 μB/f.u.
ΔE_f: -0.08 eV per atom
DFT total energy: -0.4487 hartree per atom

***

The following is a DFT calculation (PBE) of a relaxed structure of NiMoPt3.

Unit cell a=4.517 b=4.517 c=4.517 alpha=90.00 beta=90.00 gamma=90.00
Fractional positions:
Ni  0.000  0.000  0.000
Mo  0.500  0.500  0.500
Pt  0.000  0.000  0.500
Pt  0.000  0.500  0.000
Pt  0.500  0.000  0.000

Results
Total magnetic moment: 2.42 μB/f.u.
ΔE_f: 1.13 eV per atom
ΔE to the lowest computed polymorph: 1380 meV per atom
DFT total energy: -0.2136 hartree per atom